No. 1
The following is a GGA-PBE calculation of a relaxed structure of Gd2HoFe8Ni, from OQMD.

a b c (Å): 8.698 8.698 8.698
angles (deg): 33.78 33.78 33.78
Site moments in Bohr magnetons follow the coordinates.
Fractional coordinates of all 12 atoms:
Fe 0.581 0.581 0.080  2.19
Fe 0.333 0.333 0.333  2.33
Fe 0.920 0.419 0.419  2.16
Fe 0.419 0.920 0.419  2.27
Fe 0.581 0.080 0.581  2.27
Fe 0.080 0.581 0.581  2.16
Fe 0.667 0.667 0.667  2.33
Fe 0.419 0.419 0.920  2.19
Gd 0.142 0.142 0.142  -0.42
Gd 0.858 0.858 0.858  -0.42
Ho 0.000 0.000 0.000  -0.47
Ni 0.500 0.500 0.500  0.47

Formation enthalpy at 0 K (eV per atom): -0.0908
M_tot (Bohr magnetons per cell): 16.908


No. 2
The following is a GGA-PBE calculation of a relaxed structure of DyBeTlTe3, from OQMD.

a b c (Å): 8.138 8.138 11.549
angles (deg): 90.00 90.00 149.89
Fractional coordinates of all 12 atoms:
Be 0.035 0.965 0.250
Be 0.965 0.035 0.750
Dy 0.500 0.500 0.000
Dy 0.500 0.500 0.500
Te 0.129 0.871 0.076
Te 0.437 0.563 0.250
Te 0.129 0.871 0.424
Te 0.871 0.129 0.576
Te 0.563 0.437 0.750
Te 0.871 0.129 0.924
Tl 0.747 0.253 0.250
Tl 0.253 0.747 0.750

M_tot (Bohr magnetons per cell): 0.003
Final energy (eV per atom): -4.127


No. 3
The following is a GGA-PBE calculation of a relaxed structure of Er6Fe23, from OQMD.

a b c (Å): 8.399 8.399 8.399
angles (deg): 120.00 90.00 120.00
Site moments in Bohr magnetons follow the coordinates.
Fractional coordinates of all 29 atoms:
Er 0.709 0.000 0.291  -0.45
Er 0.291 0.000 0.291  -0.45
Er 0.291 0.582 0.291  -0.45
Er 0.709 0.000 0.709  -0.45
Er 0.291 0.000 0.709  -0.45
Er 0.709 0.418 0.709  -0.45
Fe 0.000 0.000 0.000  2.36
Fe 0.500 0.000 0.000  2.01
Fe 0.000 0.500 0.000  2.04
Fe 0.500 0.500 0.000  2.05
Fe 0.675 0.350 0.025  2.20
Fe 0.365 0.243 0.122  2.45
Fe 0.878 0.243 0.122  2.45
Fe 0.878 0.757 0.122  2.44
Fe 0.675 0.350 0.325  2.20
Fe 0.675 0.650 0.325  2.22
Fe 0.975 0.650 0.325  2.22
Fe 0.122 0.243 0.365  2.44
Fe 0.000 0.000 0.500  2.08
Fe 0.000 0.500 0.500  2.04
Fe 0.500 0.500 0.500  2.04
Fe 0.878 0.757 0.635  2.44
Fe 0.025 0.350 0.675  2.22
Fe 0.325 0.350 0.675  2.22
Fe 0.325 0.650 0.675  2.20
Fe 0.122 0.243 0.878  2.44
Fe 0.122 0.757 0.878  2.45
Fe 0.635 0.757 0.878  2.45
Fe 0.325 0.650 0.975  2.20

Formation enthalpy at 0 K (eV per atom): -0.0715
M_tot (Bohr magnetons per cell): 49.339


No. 4
The following is a GGA-PBE calculation of a relaxed structure of Tc2B2O5, from OQMD.

a b c (Å): 6.910 3.823 3.823
angles (deg): 90.00 90.00 90.00
Fractional coordinates of all 9 atoms:
B 0.000 0.000 0.000
B 0.500 0.000 0.000
O 0.204 0.500 0.000
O 0.796 0.500 0.000
O 0.204 0.000 0.500
O 0.796 0.000 0.500
O 0.500 0.500 0.500
Tc 0.211 0.500 0.500
Tc 0.789 0.500 0.500

M_tot (Bohr magnetons per cell): 0.023
Excess energy over the best structure of this formula in the dataset (eV per atom): 0.558


No. 5
The following is a GGA-PBE calculation of a relaxed structure of YCoGeIr, from OQMD.

a b c (Å): 4.523 4.523 4.523
angles (deg): 60.00 60.00 60.00
Site moments in Bohr magnetons follow the coordinates.
Fractional coordinates of all 4 atoms:
Co 0.750 0.750 0.750  1.01
Ge 0.000 0.000 0.000  0.00
Ir 0.250 0.250 0.250  0.15
Y 0.500 0.500 0.500  -0.07

M_tot (Bohr magnetons per cell): 1.015
Excess energy over the best structure of this formula in the dataset (eV per atom): 0.000


No. 6
The following is a GGA-PBE calculation of a relaxed structure of BePdSO, from OQMD.

a b c (Å): 4.648 6.516 7.327
angles (deg): 90.00 90.00 90.00
Fractional coordinates of all 16 atoms:
Be 0.096 0.200 0.073
Be 0.904 0.700 0.427
Be 0.404 0.800 0.573
Be 0.596 0.300 0.927
O 0.407 0.269 0.092
O 0.593 0.769 0.408
O 0.093 0.731 0.592
O 0.907 0.231 0.908
Pd 0.550 0.764 0.120
Pd 0.450 0.264 0.380
Pd 0.950 0.236 0.620
Pd 0.050 0.736 0.880
S 0.063 0.855 0.173
S 0.937 0.355 0.327
S 0.437 0.145 0.673
S 0.563 0.645 0.827

Excess energy over the best structure of this formula in the dataset (eV per atom): 0.073


No. 7
The following is a GGA-PBE calculation of a relaxed structure of NaZrCoSn, from OQMD.

a b c (Å): 4.607 4.607 4.607
angles (deg): 60.00 60.00 60.00
Fractional coordinates of all 4 atoms:
Co 0.250 0.250 0.250
Na 0.750 0.750 0.750
Sn 0.500 0.500 0.500
Zr 0.000 0.000 0.000

M_tot (Bohr magnetons per cell): 0.000
Excess energy over the best structure of this formula in the dataset (eV per atom): 0.000


No. 8
The following is a GGA-PBE calculation of a relaxed structure of SiNi4Ge, from OQMD.

a b c (Å): 3.478 3.478 5.985
angles (deg): 90.00 90.00 90.00
Fractional coordinates of all 6 atoms:
Ge 0.000 0.000 0.264
Ni 0.500 0.500 0.365
Ni 0.000 0.000 0.650
Ni 0.500 0.000 0.991
Ni 0.000 0.500 0.991
Si 0.500 0.500 0.739

M_tot (Bohr magnetons per cell): 0.001
Final energy (eV per atom): -5.780